Entry 1:
VASP calculation (GGA-PBE) on crystalline Nd6Ho8Mg at its relaxed geometry.

Properties
DOS at the Fermi energy: 21.2 states/eV/cell
M_tot: 0.00 μB/cell
Energy above the most stable polymorph in this dataset: 0 meV per atom

```
Nd6Ho8Mg
1.0
9.077 0.000 0.000
4.538 7.861 0.000
4.538 2.620 6.869
Nd Ho Mg
6 8 1
Direct
0.455 0.899 0.876 Nd
0.101 0.231 0.124 Nd
0.231 0.545 0.124 Nd
0.769 0.455 0.876 Nd
0.899 0.769 0.876 Nd
0.545 0.101 0.124 Nd
0.252 0.284 0.573 Ho
0.716 0.110 0.427 Ho
0.110 0.748 0.427 Ho
0.577 0.577 0.270 Ho
0.423 0.423 0.730 Ho
0.890 0.252 0.573 Ho
0.284 0.890 0.573 Ho
0.748 0.716 0.427 Ho
0.000 0.000 0.000 Mg
```

---

Entry 2:
VASP calculation (GGA-PBE) on crystalline Nd4Ho4Mg at its relaxed geometry.

Properties
DOS at the Fermi energy: 11.5 states/eV/cell
M_tot: 0.00 μB/cell
E_tot: -4.313 eV/atom

```
Nd4Ho4Mg
1.0
5.041 0.000 0.000
2.520 7.560 0.000
2.520 0.000 7.560
Nd Ho Mg
4 4 1
Direct
0.666 0.668 0.000 Nd
0.334 0.332 0.000 Nd
0.666 0.000 0.668 Nd
0.334 0.000 0.332 Nd
0.665 0.335 0.335 Ho
0.335 0.665 0.665 Ho
0.000 0.665 0.335 Ho
0.000 0.335 0.665 Ho
0.000 0.000 0.000 Mg
```

---

Entry 3:
VASP calculation (GGA-PBE) on crystalline Nd5Ho4Mg2 at its relaxed geometry.

Properties
DOS at the Fermi energy: 15.2 states/eV/cell
M_tot: 0.00 μB/cell
E_tot: -4.066 eV/atom

```
Nd5Ho4Mg2
1.0
3.474 0.000 -0.696
-0.863 7.673 -4.311
0.966 -1.449 13.849
Nd Ho Mg
5 4 2
Direct
0.183 0.891 0.366 Nd
0.817 0.109 0.634 Nd
0.134 0.171 0.268 Nd
0.500 0.000 0.000 Nd
0.866 0.829 0.732 Nd
0.710 0.600 0.420 Ho
0.926 0.571 0.853 Ho
0.290 0.400 0.580 Ho
0.074 0.429 0.147 Ho
0.553 0.726 0.106 Mg
0.447 0.274 0.894 Mg
```

---

Entry 4:
VASP calculation (GGA-PBE) on crystalline Nd2HoMg4 at its relaxed geometry.

Properties
DOS at the Fermi energy: 9.0 states/eV/cell
M_tot: 0.00 μB/cell
Energy above the most stable polymorph in this dataset: 412 meV per atom

```
Nd2HoMg4
1.0
-3.021 1.952 -4.255
1.403 -4.454 -3.039
-5.751 -2.742 6.472
Nd Ho Mg
2 1 4
Direct
0.608 0.608 0.215 Nd
0.392 0.392 0.785 Nd
0.000 0.000 0.000 Ho
0.815 0.815 0.631 Mg
0.185 0.185 0.369 Mg
0.000 0.500 0.000 Mg
0.500 0.000 0.000 Mg
```

---

Entry 5:
VASP calculation (GGA-PBE) on crystalline Nd9HoMg2 at its relaxed geometry.

Properties
DOS at the Fermi energy: 18.1 states/eV/cell
M_tot: 0.00 μB/cell
E_tot: -4.224 eV/atom

```
Nd9HoMg2
1.0
5.071 0.000 0.000
0.000 5.071 0.000
0.000 0.000 15.292
Nd Ho Mg
9 1 2
Direct
0.500 0.500 0.000 Nd
0.500 0.500 0.335 Nd
0.500 0.500 0.665 Nd
0.500 0.000 0.170 Nd
0.500 0.000 0.500 Nd
0.500 0.000 0.830 Nd
0.000 0.500 0.170 Nd
0.000 0.500 0.500 Nd
0.000 0.500 0.830 Nd
0.000 0.000 0.000 Ho
0.000 0.000 0.337 Mg
0.000 0.000 0.663 Mg
```

---

Entry 6:
VASP calculation (GGA-PBE) on crystalline NdHo2Mg6 at its relaxed geometry.

Properties
DOS at the Fermi energy: 5.6 states/eV/cell
M_tot: 0.00 μB/cell
E_tot: -2.687 eV/atom

```
NdHo2Mg6
1.0
3.305 0.000 0.000
0.000 7.886 -4.553
0.000 0.000 9.106
Nd Ho Mg
1 2 6
Direct
0.000 0.000 0.000 Nd
0.000 0.333 0.667 Ho
0.000 0.667 0.333 Ho
0.500 0.337 0.337 Mg
0.500 0.663 0.663 Mg
0.500 0.000 0.663 Mg
0.500 0.663 0.000 Mg
0.500 0.337 0.000 Mg
0.500 0.000 0.337 Mg
```

---

Entry 7:
VASP calculation (GGA-PBE) on crystalline Nd2Ho8Mg at its relaxed geometry.

Properties
DOS at the Fermi energy: 15.7 states/eV/cell
M_tot: 0.00 μB/cell
Energy above the most stable polymorph in this dataset: 29 meV per atom

```
Nd2Ho8Mg
1.0
6.320 1.685 1.279
2.213 9.273 2.892
2.213 5.282 8.152
Nd Ho Mg
2 8 1
Direct
0.578 0.814 0.814 Nd
0.422 0.186 0.186 Nd
0.225 0.341 0.821 Ho
0.775 0.179 0.659 Ho
0.178 0.754 0.754 Ho
0.822 0.246 0.246 Ho
0.225 0.821 0.341 Ho
0.775 0.659 0.179 Ho
0.729 0.593 0.593 Ho
0.271 0.407 0.407 Ho
0.000 0.000 0.000 Mg
```

---

Entry 8:
VASP calculation (GGA-PBE) on crystalline NdHo7Mg2 at its relaxed geometry.

Properties
DOS at the Fermi energy: 20.1 states/eV/cell
M_tot: 0.00 μB/cell
E_tot: -3.408 eV/atom

```
NdHo7Mg2
1.0
-0.403 1.291 -5.161
-9.096 0.718 0.890
5.728 7.036 1.313
Nd Ho Mg
1 7 2
Direct
0.000 0.000 0.000 Nd
0.000 0.786 0.214 Ho
0.000 0.214 0.786 Ho
0.500 0.068 0.296 Ho
0.500 0.932 0.704 Ho
0.500 0.296 0.068 Ho
0.500 0.704 0.932 Ho
0.500 0.500 0.500 Ho
0.500 0.702 0.298 Mg
0.500 0.298 0.702 Mg
```

---

Entry 9:
VASP calculation (GGA-PBE) on crystalline Nd6Ho8Mg at its relaxed geometry.

Properties
DOS at the Fermi energy: 17.5 states/eV/cell
M_tot: 0.00 μB/cell
Energy above the most stable polymorph in this dataset: 36 meV per atom

```
Nd6Ho8Mg
1.0
6.306 0.000 0.000
0.000 8.231 -4.752
0.000 0.000 9.504
Nd Ho Mg
6 8 1
Direct
0.688 0.639 0.089 Nd
0.688 0.911 0.550 Nd
0.688 0.450 0.361 Nd
0.312 0.361 0.911 Nd
0.312 0.089 0.450 Nd
0.312 0.550 0.639 Nd
0.812 0.039 0.265 Ho
0.812 0.735 0.774 Ho
0.812 0.226 0.961 Ho
0.188 0.961 0.735 Ho
0.188 0.265 0.226 Ho
0.188 0.774 0.039 Ho
0.827 0.333 0.667 Ho
0.173 0.667 0.333 Ho
0.500 0.000 0.000 Mg
```

---

Entry 10:
VASP calculation (GGA-PBE) on crystalline Nd6Ho5Mg at its relaxed geometry.

Properties
DOS at the Fermi energy: 16.8 states/eV/cell
M_tot: 0.00 μB/cell
E_tot: -4.410 eV/atom

```
Nd6Ho5Mg
1.0
4.926 -0.003 -1.380
-3.494 8.298 -3.014
0.005 0.105 9.494
Mg Nd Ho
1 6 5
Direct
0.000 0.000 0.000 Mg
0.247 0.080 0.414 Nd
0.753 0.586 0.920 Nd
0.747 0.247 0.247 Nd
0.253 0.753 0.753 Nd
0.247 0.414 0.080 Nd
0.753 0.920 0.586 Nd
0.500 0.170 0.830 Ho
0.000 0.335 0.665 Ho
0.500 0.500 0.500 Ho
0.000 0.665 0.335 Ho
0.500 0.830 0.170 Ho
```

---

Entry 11:
VASP calculation (GGA-PBE) on crystalline Nd2Ho4Mg at its relaxed geometry.

Properties
DOS at the Fermi energy: 20.3 states/eV/cell
M_tot: 0.00 μB/cell
Energy above the most stable polymorph in this dataset: 0 meV per atom

```
Nd2Ho4Mg
1.0
11.667 0.000 0.000
0.000 5.730 -3.103
0.000 -0.723 7.056
Nd Ho Mg
4 8 2
Direct
0.000 0.628 0.325 Nd
0.000 0.372 0.675 Nd
0.500 0.871 0.675 Nd
0.500 0.129 0.325 Nd
0.711 0.526 0.744 Ho
0.711 0.477 0.258 Ho
0.789 0.977 0.258 Ho
0.789 0.025 0.744 Ho
0.211 0.975 0.256 Ho
0.211 0.023 0.742 Ho
0.289 0.523 0.742 Ho
0.289 0.474 0.256 Ho
0.000 0.000 0.000 Mg
0.500 0.500 0.000 Mg
```

---

Entry 12:
VASP calculation (GGA-PBE) on crystalline Nd5Ho12Mg2 at its relaxed geometry.

Properties
DOS at the Fermi energy: 27.0 states/eV/cell
M_tot: 0.00 μB/cell
E_tot: -4.221 eV/atom

```
Nd5Ho12Mg2
1.0
-5.072 6.681 -3.900
1.261 -9.706 -7.297
-4.114 1.125 7.277
Nd Ho Mg
5 12 2
Direct
0.294 0.587 0.606 Nd
0.234 0.467 0.894 Nd
0.000 0.000 0.500 Nd
0.766 0.533 0.106 Nd
0.706 0.413 0.394 Nd
0.076 0.152 0.274 Ho
0.036 0.710 0.949 Ho
0.674 0.710 0.949 Ho
0.182 0.746 0.421 Ho
0.564 0.746 0.421 Ho
0.557 0.113 0.780 Ho
0.443 0.887 0.220 Ho
0.818 0.254 0.579 Ho
0.436 0.254 0.579 Ho
0.964 0.290 0.051 Ho
0.326 0.290 0.051 Ho
0.924 0.848 0.726 Ho
0.668 0.000 0.000 Mg
0.332 0.000 0.000 Mg
```

---

Entry 13:
VASP calculation (GGA-PBE) on crystalline Nd6Ho3Mg at its relaxed geometry.

Properties
DOS at the Fermi energy: 22.9 states/eV/cell
M_tot: 0.00 μB/cell
Energy above the most stable polymorph in this dataset: 58 meV per atom

```
Nd6Ho3Mg
1.0
5.348 0.000 0.103
0.000 10.501 0.000
-0.233 0.000 11.961
Nd Ho Mg
12 6 2
Direct
0.500 0.827 0.919 Nd
0.500 0.789 0.613 Nd
0.500 0.568 0.250 Nd
0.500 0.432 0.750 Nd
0.500 0.211 0.387 Nd
0.500 0.173 0.081 Nd
0.000 0.674 0.419 Nd
0.000 0.711 0.113 Nd
0.000 0.932 0.750 Nd
0.000 0.068 0.250 Nd
0.000 0.289 0.887 Nd
0.000 0.326 0.581 Nd
0.500 0.120 0.715 Ho
0.500 0.500 0.000 Ho
0.500 0.880 0.285 Ho
0.000 0.380 0.215 Ho
0.000 0.000 0.500 Ho
0.000 0.620 0.785 Ho
0.500 0.500 0.500 Mg
0.000 0.000 0.000 Mg
```

---

Entry 14:
VASP calculation (GGA-PBE) on crystalline Nd2HoMg5 at its relaxed geometry.

Properties
DOS at the Fermi energy: 8.2 states/eV/cell
M_tot: 0.00 μB/cell
E_tot: -2.835 eV/atom

```
Nd2HoMg5
1.0
-2.128 -4.722 -0.861
-0.451 -0.741 5.178
-5.869 5.987 -2.316
Nd Ho Mg
2 1 5
Direct
0.741 0.741 0.483 Nd
0.259 0.259 0.517 Nd
0.000 0.000 0.000 Ho
0.500 0.500 0.000 Mg
0.886 0.386 0.772 Mg
0.386 0.886 0.772 Mg
0.114 0.614 0.228 Mg
0.614 0.114 0.228 Mg
```

---

Entry 15:
VASP calculation (GGA-PBE) on crystalline NdHo6Mg at its relaxed geometry.

Properties
DOS at the Fermi energy: 11.7 states/eV/cell
M_tot: 0.00 μB/cell
Energy above the most stable polymorph in this dataset: 95 meV per atom

```
NdHo6Mg
1.0
-8.018 2.737 -0.938
-5.692 1.771 7.196
-3.119 4.960 2.386
Nd Ho Mg
1 6 1
Direct
0.500 0.500 0.500 Nd
0.954 0.535 0.753 Ho
0.759 0.954 0.822 Ho
0.535 0.241 0.270 Ho
0.241 0.046 0.178 Ho
0.046 0.465 0.247 Ho
0.465 0.759 0.730 Ho
0.000 0.000 0.000 Mg
```

---

Entry 16:
VASP calculation (GGA-PBE) on crystalline Nd2HoMg4 at its relaxed geometry.

Properties
DOS at the Fermi energy: 5.8 states/eV/cell
M_tot: 0.00 μB/cell
Energy above the most stable polymorph in this dataset: 0 meV per atom

```
Nd2HoMg4
1.0
5.196 0.000 -1.656
-0.528 5.169 -1.656
-0.229 -0.253 8.260
Nd Ho Mg
2 1 4
Direct
0.747 0.747 0.494 Nd
0.253 0.253 0.506 Nd
0.000 0.000 0.000 Ho
0.387 0.887 0.774 Mg
0.887 0.387 0.774 Mg
0.613 0.113 0.226 Mg
0.113 0.613 0.226 Mg
```

---

Entry 17:
VASP calculation (GGA-PBE) on crystalline Nd2HoMg at its relaxed geometry.

Properties
DOS at the Fermi energy: 4.1 states/eV/cell
M_tot: 0.00 μB/cell
Energy above the most stable polymorph in this dataset: 210 meV per atom

```
Nd2HoMg
1.0
3.502 0.000 0.000
1.751 3.033 0.000
1.751 1.011 12.491
Mg Nd Ho
1 2 1
Direct
0.000 0.000 0.000 Mg
0.089 0.089 0.732 Nd
0.911 0.911 0.268 Nd
0.500 0.500 0.500 Ho
```

---

Entry 18:
VASP calculation (GGA-PBE) on crystalline Nd3Ho3Mg at its relaxed geometry.

Properties
DOS at the Fermi energy: 22.7 states/eV/cell
M_tot: 0.63 μB/cell
Energy above the most stable polymorph in this dataset: 0 meV per atom

```
Nd3Ho3Mg
1.0
-1.013 -4.989 -2.457
9.120 -2.549 1.417
-6.603 -1.937 6.654
Nd Ho Mg
6 6 2
Direct
0.250 0.528 0.630 Nd
0.250 0.102 0.472 Nd
0.250 0.370 0.898 Nd
0.750 0.472 0.370 Nd
0.750 0.898 0.528 Nd
0.750 0.630 0.102 Nd
0.750 0.766 0.818 Ho
0.750 0.052 0.234 Ho
0.750 0.182 0.948 Ho
0.250 0.234 0.182 Ho
0.250 0.948 0.766 Ho
0.250 0.818 0.052 Ho
0.750 0.333 0.667 Mg
0.250 0.667 0.333 Mg
```

---

Entry 19:
VASP calculation (GGA-PBE) on crystalline NdHo2Mg4 at its relaxed geometry.

Properties
DOS at the Fermi energy: 5.7 states/eV/cell
M_tot: 0.00 μB/cell
Energy above the most stable polymorph in this dataset: 223 meV per atom

```
NdHo2Mg4
1.0
5.523 0.000 0.000
0.000 5.982 0.000
0.000 -2.991 6.448
Nd Ho Mg
1 2 4
Direct
0.000 0.500 0.000 Nd
0.500 0.132 0.265 Ho
0.500 0.868 0.735 Ho
0.500 0.621 0.243 Mg
0.000 0.751 0.502 Mg
0.500 0.379 0.757 Mg
0.000 0.249 0.498 Mg
```

---

Entry 20:
VASP calculation (GGA-PBE) on crystalline Nd2HoMg at its relaxed geometry.

Properties
DOS at the Fermi energy: 4.8 states/eV/cell
M_tot: 0.00 μB/cell
Energy above the most stable polymorph in this dataset: 70 meV per atom

```
Nd2HoMg
1.0
-1.789 -0.134 -3.081
-2.754 -2.234 -0.366
-8.673 7.412 2.650
Nd Ho Mg
2 1 1
Direct
0.084 0.084 0.747 Nd
0.249 0.249 0.254 Nd
0.667 0.667 0.999 Ho
0.500 0.500 0.500 Mg
```

---

Entry 21:
VASP calculation (GGA-PBE) on crystalline Nd3Ho4Mg at its relaxed geometry.

Properties
DOS at the Fermi energy: 21.6 states/eV/cell
M_tot: 0.00 μB/cell
Energy above the most stable polymorph in this dataset: 0 meV per atom

```
Nd3Ho4Mg
1.0
6.241 0.000 0.000
0.000 7.190 0.000
0.000 0.000 11.350
Nd Ho Mg
6 8 2
Direct
0.496 0.630 0.000 Nd
0.149 0.622 0.242 Nd
0.649 0.378 0.258 Nd
0.996 0.370 0.500 Nd
0.649 0.378 0.742 Nd
0.149 0.622 0.758 Nd
0.968 0.885 0.000 Ho
0.483 0.125 0.000 Ho
0.144 0.123 0.244 Ho
0.644 0.877 0.256 Ho
0.983 0.875 0.500 Ho
0.468 0.115 0.500 Ho
0.644 0.877 0.744 Ho
0.144 0.123 0.756 Ho
0.984 0.369 0.000 Mg
0.484 0.631 0.500 Mg
```